## Pr2Al3GaAu4 (PBE-GGA)

Data for a relaxed structure of Pr2Al3GaAu4.

Results
- formation energy from the elements (eV/atom) = -0.725
- mass density (g/cm3) = 9.74
- E (eV/atom) = -4.417

abc: 4.4550 4.4550 10.4786
angles: 90.00 90.00 90.00
Space group P-4m2 (No. 115)
Asymmetric unit:
Pr (0.0000, 0.5000, 0.2495) [2 per cell]
Al (0.0000, 0.5000, 0.8704) [2 per cell]
Al (0.5000, 0.5000, 0.5000) [1 per cell]
Ga (0.0000, 0.0000, 0.5000) [1 per cell]
Au (0.0000, 0.0000, 0.0000) [1 per cell]
Au (0.0000, 0.5000, 0.6313) [2 per cell]
Au (0.5000, 0.5000, 0.0000) [1 per cell]



## MgTl3Os (PBE-GGA)

Data for a relaxed structure of MgTl3Os.

Results
- formation energy from the elements (eV/atom) = 0.511
- mass density (g/cm3) = 9.07
- E (eV/atom) = -3.474
- energy above the most stable polymorph in this dataset (meV per atom) = 0.0

abc: 5.3310 5.3310 5.3310
angles: 90.00 90.00 90.00
Space group Pm-3m (No. 221)
Asymmetric unit:
Mg (0.0000, 0.0000, 0.0000) [1 per cell]
Tl (0.0000, 0.5000, 0.5000) [3 per cell]
Os (0.5000, 0.5000, 0.5000) [1 per cell]



## TbBe2Rh (PBE-GGA)

Data for a relaxed structure of TbBe2Rh.

Results
- formation energy from the elements (eV/atom) = -0.450
- mass density (g/cm3) = 7.38
- E (eV/atom) = -5.309

abc: 3.8653 3.8653 14.6008
angles: 90.00 90.00 120.00
Space group R-3m (No. 166, hexagonal axes)
Asymmetric unit:
Tb (0.0000, 0.0000, 0.0000) [3 per cell]
Be (0.0000, 0.0000, 0.1963) [6 per cell]
Rh (0.0000, 0.0000, 0.5000) [3 per cell]



## SrPmAu (PBE-GGA)

Data for a relaxed structure of SrPmAu.

Results
- formation energy from the elements (eV/atom) = -0.481
- mass density (g/cm3) = 7.23
- E (eV/atom) = -3.717
- energy above the most stable polymorph in this dataset (meV per atom) = 26.5

abc: 3.8077 3.8077 13.6173
angles: 90.00 90.00 90.00
Space group I4mm (No. 107)
Asymmetric unit:
Sr (0.0000, 0.0000, 0.0000) [2 per cell]
Pm (0.0000, 0.0000, 0.2654) [2 per cell]
Au (0.0000, 0.0000, 0.6568) [2 per cell]



## YCd2Os (PBE-GGA)

Data for a relaxed structure of YCd2Os.

Results
- formation energy from the elements (eV/atom) = 0.353
- mass density (g/cm3) = 9.35
- E (eV/atom) = -4.528

abc: 4.1164 4.1164 21.1369
angles: 90.00 90.00 90.00
Space group I-42d (No. 122)
Asymmetric unit:
Y (0.0000, 0.0000, 0.0000) [4 per cell]
Cd (0.2205, 0.2500, 0.6250) [8 per cell]
Os (0.0000, 0.0000, 0.5000) [4 per cell]



## LaSmMnHg (PBE-GGA)

Data for a relaxed structure of LaSmMnHg.

Results
- formation energy from the elements (eV/atom) = -0.058
- mass density (g/cm3) = 8.39
- E (eV/atom) = -4.837

abc: 7.5553 7.5553 7.5553
angles: 90.00 90.00 90.00
Space group F-43m (No. 216)
Asymmetric unit:
La (0.0000, 0.0000, 0.0000) [4 per cell]
Sm (0.0000, 0.0000, 0.5000) [4 per cell]
Mn (0.2500, 0.2500, 0.2500) [4 per cell]
Hg (0.2500, 0.2500, 0.7500) [4 per cell]